[1]
Here is a relaxed Al4Rh3 crystal from Alexandria via LeMat-Bulk. Energies are from PBE.

Cell: 7.5248 7.5248 6.2564 Å, 90.00 90.00 120.00°
Space group R3m (No. 160, hexagonal axes)
One atom of each set of equivalent atoms:
Al1 0.0000 0.0000 0.0000 [3 per cell]
Al2 0.2026 0.4053 0.0850 [9 per cell]
Rh1 0.0594 0.5297 0.3741 [9 per cell]

Output
calculated total energy	-6.148	eV/atom
spin magnetization	0.00	Bohr magnetons per cell
energy relative to the lowest polymorph listed for this composition	62.0	meV/atom
density	6.77	g cm⁻³
V	14.61	Å³/atom

---

[2]
Here is a relaxed Al7Rh5 crystal from Alexandria via LeMat-Bulk. Energies are from PBE.

Cell: 4.702 8.170 8.939 Å, 90.00 95.62 90.00°
Space group C2 (No. 5)
One atom of each set of equivalent atoms:
Al1 0.000 0.000 0.000 [2 per cell]
Al2 0.000 0.211 0.500 [2 per cell]
Al3 0.000 0.546 0.500 [2 per cell]
Al4 0.191 0.788 0.238 [4 per cell]
Al5 0.194 0.452 0.241 [4 per cell]
Rh1 0.000 0.320 0.000 [2 per cell]
Rh2 0.000 0.650 0.000 [2 per cell]
Rh3 0.000 0.875 0.500 [2 per cell]
Rh4 0.192 0.112 0.266 [4 per cell]

Output
calculated total energy	-6.033	eV/atom
spin magnetization	0.00	Bohr magnetons per cell
energy relative to the lowest polymorph listed for this composition	25.8	meV/atom
density	6.84	g cm⁻³
V	14.24	Å³/atom

---

[3]
Here is a relaxed Al5Rh7 crystal from Alexandria via LeMat-Bulk. Energies are from PBE.

Cell: 2.859 7.326 8.082 Å, 90.00 90.00 90.00°
Space group Pmm2 (No. 25)
One atom of each set of equivalent atoms:
Al1 0.000 0.000 0.000 [1 per cell]
Al2 0.000 0.000 0.348 [1 per cell]
Al3 0.000 0.500 0.718 [1 per cell]
Al4 0.500 0.257 0.526 [2 per cell]
Rh1 0.000 0.000 0.654 [1 per cell]
Rh2 0.000 0.500 0.041 [1 per cell]
Rh3 0.000 0.500 0.387 [1 per cell]
Rh4 0.500 0.222 0.194 [2 per cell]
Rh5 0.500 0.256 0.851 [2 per cell]

Output
calculated total energy	-6.487	eV/atom
spin magnetization	0.00	Bohr magnetons per cell
energy relative to the lowest polymorph listed for this composition	148.5	meV/atom
density	8.39	g cm⁻³
V	14.10	Å³/atom

---

[4]
Here is a relaxed Al5Rh7 crystal from Alexandria via LeMat-Bulk. Energies are from PBE.

Cell: 4.782 5.605 6.953 Å, 77.85 76.69 73.21°
Space group P1 (No. 1)
One atom of each set of equivalent atoms:
Al1 0.000 0.000 0.000 [1 per cell]
Al2 0.015 0.824 0.620 [1 per cell]
Al3 0.092 0.310 0.620 [1 per cell]
Al4 0.510 0.648 0.804 [1 per cell]
Al5 0.566 0.505 0.413 [1 per cell]
Rh1 0.013 0.162 0.314 [1 per cell]
Rh2 0.021 0.500 0.935 [1 per cell]
Rh3 0.052 0.642 0.311 [1 per cell]
Rh4 0.505 0.317 0.126 [1 per cell]
Rh5 0.513 0.948 0.472 [1 per cell]
Rh6 0.518 0.843 0.096 [1 per cell]
Rh7 0.605 0.190 0.750 [1 per cell]

Output
calculated total energy	-6.497	eV/atom
spin magnetization	0.00	Bohr magnetons per cell
energy relative to the lowest polymorph listed for this composition	139.0	meV/atom
density	8.28	g cm⁻³
V	14.29	Å³/atom

---

[5]
Here is a relaxed Al3Rh crystal from Alexandria via LeMat-Bulk. Energies are from PBE.

Cell: 2.855 2.855 7.521 Å, 90.00 90.00 90.00°
Space group P4/mmm (No. 123)
One atom of each set of equivalent atoms:
Al1 0.000 0.000 0.000 [1 per cell]
Al2 0.500 0.500 0.283 [2 per cell]
Rh1 0.000 0.000 0.500 [1 per cell]

Output
calculated total energy	-5.144	eV/atom
spin magnetization	0.00	Bohr magnetons per cell
density	4.98	g cm⁻³
V	15.33	Å³/atom

---

[6]
Here is a relaxed Al5Rh3 crystal from Alexandria via LeMat-Bulk. Energies are from PBE.

Cell: 5.416 7.087 7.094 Å, 87.83 69.98 69.98°
Space group P1 (No. 1)
One atom of each set of equivalent atoms:
Al1 0.000 0.000 0.000 [1 per cell]
Al2 0.034 0.176 0.368 [1 per cell]
Al3 0.093 0.632 0.797 [1 per cell]
Al4 0.318 0.762 0.356 [1 per cell]
Al5 0.397 0.218 0.704 [1 per cell]
Al6 0.500 0.984 0.017 [1 per cell]
Al7 0.537 0.351 0.193 [1 per cell]
Al8 0.592 0.781 0.649 [1 per cell]
Al9 0.819 0.339 0.779 [1 per cell]
Al10 0.896 0.687 0.235 [1 per cell]
Rh1 0.040 0.348 0.047 [1 per cell]
Rh2 0.094 0.494 0.482 [1 per cell]
Rh3 0.396 0.650 0.991 [1 per cell]
Rh4 0.538 0.030 0.365 [1 per cell]
Rh5 0.593 0.466 0.512 [1 per cell]
Rh6 0.897 0.974 0.667 [1 per cell]

Output
calculated total energy	-5.883	eV/atom
spin magnetization	0.00	Bohr magnetons per cell
energy relative to the lowest polymorph listed for this composition	7.4	meV/atom
density	6.15	g cm⁻³
V	14.96	Å³/atom

---

[7]
Here is a relaxed Al3Rh crystal from Alexandria via LeMat-Bulk. Energies are from PBE.

Cell: 2.9525 2.9525 8.2807 Å, 90.00 90.00 120.00°
Space group P-6m2 (No. 187)
One atom of each set of equivalent atoms:
Al1 0.0000 0.0000 0.0000 [1 per cell]
Al2 0.3333 0.6667 0.2733 [2 per cell]
Rh1 0.0000 0.0000 0.5000 [1 per cell]

Output
calculated total energy	-5.017	eV/atom
spin magnetization	0.00	Bohr magnetons per cell
density	4.88	g cm⁻³
V	15.63	Å³/atom

---

[8]
Here is a relaxed AlRh3 crystal from Alexandria via LeMat-Bulk. Energies are from PBE.

Cell: 4.464 4.464 2.846 Å, 90.00 90.00 90.00°
Space group P4/mmm (No. 123)
One atom of each set of equivalent atoms:
Al1 0.000 0.000 0.000 [1 per cell]
Rh1 0.000 0.500 0.500 [2 per cell]
Rh2 0.500 0.500 0.000 [1 per cell]

Output
calculated total energy	-6.821	eV/atom
spin magnetization	0.00	Bohr magnetons per cell
density	9.83	g cm⁻³
V	14.18	Å³/atom